Entry 1:
# KMg2Mn SCAN single point on PBEsol structure
data_KMg2Mn
_chemical_formula_sum 'K1 Mg2 Mn1'
_cell_length_a 3.336
_cell_length_b 3.366
_cell_length_c 9.153
_cell_angle_alpha 90.00
_cell_angle_beta 90.00
_cell_angle_gamma 90.00
_space_group_name_H-M_alt 'P m m m'
_space_group_IT_number 47
_space_group_name_Hall '-P 2 2'
loop_
_atom_site_label
_atom_site_type_symbol
_atom_site_fract_x
_atom_site_fract_y
_atom_site_fract_z
K1 K 0.000 0.000 0.000
Mg1 Mg 0.500 0.500 0.332
Mn1 Mn 0.000 0.000 0.500
# polymorph energy (0 for the lowest one) = 0.0000 eV/atom
# ΔE_f = 0.1909 eV per atom
# crystal system = orthorhombic

=====

Entry 2:
# MnCu2Pd SCAN single point on PBEsol structure
data_MnCu2Pd
_chemical_formula_sum 'Mn4 Cu8 Pd4'
_cell_length_a 5.885
_cell_length_b 5.885
_cell_length_c 5.885
_cell_angle_alpha 90.00
_cell_angle_beta 90.00
_cell_angle_gamma 90.00
_space_group_name_H-M_alt 'F m -3 m'
_space_group_IT_number 225
_space_group_name_Hall '-F 4 2 3'
loop_
_atom_site_label
_atom_site_type_symbol
_atom_site_fract_x
_atom_site_fract_y
_atom_site_fract_z
Mn1 Mn 0.000 0.000 0.000
Cu1 Cu 0.250 0.250 0.250
Pd1 Pd 0.000 0.000 0.500
# ΔE_f = -0.2006 eV per atom
# crystal system = cubic

=====

Entry 3:
# AlTlTe2 SCAN single point on PBEsol structure
data_AlTlTe2
_chemical_formula_sum 'Al1 Tl1 Te2'
_cell_length_a 3.797
_cell_length_b 3.797
_cell_length_c 9.064
_cell_angle_alpha 90.00
_cell_angle_beta 90.00
_cell_angle_gamma 90.00
_space_group_name_H-M_alt 'P 4 m m'
_space_group_IT_number 99
_space_group_name_Hall 'P 4 -2'
loop_
_atom_site_label
_atom_site_type_symbol
_atom_site_fract_x
_atom_site_fract_y
_atom_site_fract_z
Al1 Al 0.000 0.000 0.000
Tl1 Tl 0.500 0.500 0.487
Te1 Te 0.000 0.000 0.289
Te2 Te 0.500 0.500 0.908
# crystal system = tetragonal
# formation energy from raw total energies = -199 meV/atom

=====

Entry 4:
# Li2SnPd SCAN single point on PBEsol structure
data_Li2SnPd
_chemical_formula_sum 'Li8 Sn4 Pd4'
_cell_length_a 6.288
_cell_length_b 6.288
_cell_length_c 6.288
_cell_angle_alpha 90.00
_cell_angle_beta 90.00
_cell_angle_gamma 90.00
_space_group_name_H-M_alt 'F -4 3 m'
_space_group_IT_number 216
_space_group_name_Hall 'F -4 2 3'
loop_
_atom_site_label
_atom_site_type_symbol
_atom_site_fract_x
_atom_site_fract_y
_atom_site_fract_z
Li1 Li 0.000 0.000 0.000
Li2 Li 0.250 0.250 0.250
Sn1 Sn 0.250 0.250 0.750
Pd1 Pd 0.000 0.000 0.500
# ΔE_f = -0.6453 eV per atom
# crystal system = cubic

=====

Entry 5:
# Zr3C SCAN single point on PBEsol structure
data_Zr3C
_chemical_formula_sum 'Zr9 C3'
_cell_length_a 3.2406
_cell_length_b 3.2406
_cell_length_c 23.9859
_cell_angle_alpha 90.00
_cell_angle_beta 90.00
_cell_angle_gamma 120.00
_space_group_name_H-M_alt 'R -3 m'
_space_group_IT_number 166
_space_group_name_Hall '-R 3 2"'
loop_
_atom_site_label
_atom_site_type_symbol
_atom_site_fract_x
_atom_site_fract_y
_atom_site_fract_z
Zr1 Zr 0.0000 0.0000 0.0000
Zr2 Zr 0.0000 0.0000 0.2211
C1 C 0.0000 0.0000 0.5000
# polymorph energy (0 for the lowest one) = 0.0000 eV/atom
# ΔE_f = -0.4735 eV per atom
# crystal system = trigonal

=====

Entry 6:
# Ni2H SCAN single point on PBEsol structure
data_Ni2H
_chemical_formula_sum 'Ni2 H1'
_cell_length_a 2.5067
_cell_length_b 2.5067
_cell_length_c 4.1634
_cell_angle_alpha 90.00
_cell_angle_beta 90.00
_cell_angle_gamma 120.00
_space_group_name_H-M_alt 'P -3 m 1'
_space_group_IT_number 164
_space_group_name_Hall '-P 3 2"'
loop_
_atom_site_label
_atom_site_type_symbol
_atom_site_fract_x
_atom_site_fract_y
_atom_site_fract_z
Ni1 Ni 0.3333 0.6667 0.2594
H1 H 0.0000 0.0000 0.0000
# crystal system = trigonal

=====

Entry 7:
# Li3Ta SCAN single point on PBEsol structure
data_Li3Ta
_chemical_formula_sum 'Li3 Ta1'
_cell_length_a 5.104
_cell_length_b 5.104
_cell_length_c 2.591
_cell_angle_alpha 90.00
_cell_angle_beta 90.00
_cell_angle_gamma 90.00
_space_group_name_H-M_alt 'P 4/m m m'
_space_group_IT_number 123
_space_group_name_Hall '-P 4 2'
loop_
_atom_site_label
_atom_site_type_symbol
_atom_site_fract_x
_atom_site_fract_y
_atom_site_fract_z
Li1 Li 0.000 0.000 0.000
Li2 Li 0.000 0.500 0.500
Ta1 Ta 0.500 0.500 0.000
# polymorph energy (0 for the lowest one) = 0.0545 eV/atom
# ΔE_f = 0.5239 eV per atom
# crystal system = tetragonal

=====

Entry 8:
# ScBe2Mo SCAN single point on PBEsol structure
data_ScBe2Mo
_chemical_formula_sum 'Sc3 Be6 Mo3'
_cell_length_a 2.7288
_cell_length_b 2.7288
_cell_length_c 25.8918
_cell_angle_alpha 90.00
_cell_angle_beta 90.00
_cell_angle_gamma 120.00
_space_group_name_H-M_alt 'R 3 m'
_space_group_IT_number 160
_space_group_name_Hall 'R 3 -2"'
loop_
_atom_site_label
_atom_site_type_symbol
_atom_site_fract_x
_atom_site_fract_y
_atom_site_fract_z
Sc1 Sc 0.0000 0.0000 0.0000
Be1 Be 0.0000 0.0000 0.4897
Be2 Be 0.0000 0.0000 0.7564
Mo1 Mo 0.0000 0.0000 0.2348
# ΔE_f = 0.5323 eV per atom
# crystal system = trigonal

=====

Entry 9:
# NaSbNF2 SCAN single point on PBEsol structure
data_NaSbNF2
_chemical_formula_sum 'Na1 Sb1 N1 F2'
_cell_length_a 4.458
_cell_length_b 4.458
_cell_length_c 4.020
_cell_angle_alpha 90.00
_cell_angle_beta 90.00
_cell_angle_gamma 90.00
_space_group_name_H-M_alt 'P 4/m m m'
_space_group_IT_number 123
_space_group_name_Hall '-P 4 2'
loop_
_atom_site_label
_atom_site_type_symbol
_atom_site_fract_x
_atom_site_fract_y
_atom_site_fract_z
Na1 Na 0.000 0.000 0.000
Sb1 Sb 0.500 0.500 0.500
N1 N 0.500 0.500 0.000
F1 F 0.000 0.500 0.500
# crystal system = tetragonal
# formation energy from raw total energies = -1149 meV/atom

=====

Entry 10:
# NaTiO3 SCAN single point on PBEsol structure
data_NaTiO3
_chemical_formula_sum 'Na1 Ti1 O3'
_cell_length_a 3.858
_cell_length_b 3.858
_cell_length_c 3.858
_cell_angle_alpha 90.00
_cell_angle_beta 90.00
_cell_angle_gamma 90.00
_space_group_name_H-M_alt 'P m -3 m'
_space_group_IT_number 221
_space_group_name_Hall '-P 4 2 3'
loop_
_atom_site_label
_atom_site_type_symbol
_atom_site_fract_x
_atom_site_fract_y
_atom_site_fract_z
Na1 Na 0.000 0.000 0.000
Ti1 Ti 0.500 0.500 0.500
O1 O 0.000 0.500 0.500
# crystal system = cubic
# formation energy from raw total energies = -2445 meV/atom

=====

Entry 11:
# Ti2CrO5 SCAN single point on PBEsol structure
data_Ti2CrO5
_chemical_formula_sum 'Ti8 Cr4 O20'
_cell_length_a 10.156
_cell_length_b 4.902
_cell_length_c 7.044
_cell_angle_alpha 90.00
_cell_angle_beta 111.86
_cell_angle_gamma 90.00
_space_group_name_H-M_alt 'C 1 2/c 1'
_space_group_IT_number 15
_space_group_name_Hall '-C 2yc'
loop_
_atom_site_label
_atom_site_type_symbol
_atom_site_fract_x
_atom_site_fract_y
_atom_site_fract_z
Ti1 Ti 0.131 0.013 0.220
Cr1 Cr 0.000 0.500 0.000
O1 O 0.000 0.311 0.250
O2 O 0.081 0.159 0.943
O3 O 0.188 0.344 0.653
# crystal system = monoclinic
# formation energy from raw total energies = -3042 meV/atom

=====

Entry 12:
# TaSiHg2 SCAN single point on PBEsol structure
data_TaSiHg2
_chemical_formula_sum 'Ta2 Si2 Hg4'
_cell_length_a 4.016
_cell_length_b 4.016
_cell_length_c 8.961
_cell_angle_alpha 90.00
_cell_angle_beta 90.00
_cell_angle_gamma 90.00
_space_group_name_H-M_alt 'I -4 m 2'
_space_group_IT_number 119
_space_group_name_Hall 'I -4 -2'
loop_
_atom_site_label
_atom_site_type_symbol
_atom_site_fract_x
_atom_site_fract_y
_atom_site_fract_z
Ta1 Ta 0.000 0.000 0.000
Si1 Si 0.000 0.500 0.750
Hg1 Hg 0.000 0.000 0.500
Hg2 Hg 0.000 0.500 0.250
# crystal system = tetragonal
# formation energy from raw total energies = 521 meV/atom

=====

Entry 13:
# RbTl3Rh SCAN single point on PBEsol structure
data_RbTl3Rh
_chemical_formula_sum 'Rb1 Tl3 Rh1'
_cell_length_a 5.276
_cell_length_b 5.276
_cell_length_c 5.276
_cell_angle_alpha 90.00
_cell_angle_beta 90.00
_cell_angle_gamma 90.00
_space_group_name_H-M_alt 'P m -3 m'
_space_group_IT_number 221
_space_group_name_Hall '-P 4 2 3'
loop_
_atom_site_label
_atom_site_type_symbol
_atom_site_fract_x
_atom_site_fract_y
_atom_site_fract_z
Rb1 Rb 0.000 0.000 0.000
Tl1 Tl 0.000 0.500 0.500
Rh1 Rh 0.500 0.500 0.500
# ΔE_f = -0.1348 eV per atom
# crystal system = cubic

=====

Entry 14:
# MgV4O10 SCAN single point on PBEsol structure
data_MgV4O10
_chemical_formula_sum 'Mg1 V4 O10'
_cell_length_a 3.509
_cell_length_b 11.359
_cell_length_c 4.570
_cell_angle_alpha 90.00
_cell_angle_beta 90.00
_cell_angle_gamma 90.00
_space_group_name_H-M_alt 'P m m 2'
_space_group_IT_number 25
_space_group_name_Hall 'P 2 -2'
loop_
_atom_site_label
_atom_site_type_symbol
_atom_site_fract_x
_atom_site_fract_y
_atom_site_fract_z
Mg1 Mg 0.000 0.000 0.000
V1 V 0.000 0.348 0.827
V2 V 0.500 0.153 0.583
O1 O 0.000 0.167 0.726
O2 O 0.000 0.341 0.175
O3 O 0.000 0.500 0.747
O4 O 0.500 0.000 0.747
O5 O 0.500 0.119 0.233
O6 O 0.500 0.317 0.693
# polymorph energy (0 for the lowest one) = 0.0166 eV/atom
# crystal system = orthorhombic
# formation energy from raw total energies = -2576 meV/atom

=====

no.,final energy (eV/atom),magnetization (μB per cell)
1,-8.942,4.0
2,-20.558,16.7
3,-38.852,0.0
4,-19.014,0.0
5,-26.022,0.0
6,-11.892,0.8
7,-17.914,0.0
8,-13.925,1.5
9,-12.719,0.0
10,-10.233,1.0
11,-13.242,8.0
12,-52.712,0.0
13,-54.452,0.0
14,-11.726,2.0